(1)
# RbAuN2F, optimized geometry, DFT PBE-GGA
# V: 164 Å³/f.u.
# Formation energy from raw total energies: 1.71 eV per atom
# Crystal system: tetragonal
data_RbAuN2F
_chemical_formula_sum 'Rb1 Au1 N2 F1'
_cell_length_a 5.763
_cell_length_b 5.763
_cell_length_c 4.953
_cell_angle_alpha 90.00
_cell_angle_beta 90.00
_cell_angle_gamma 90.00
_space_group_name_H-M_alt 'P 1'
_space_group_IT_number 1
loop_
_space_group_symop_operation_xyz
'x,y,z'
loop_
_atom_site_label
_atom_site_fract_x
_atom_site_fract_y
_atom_site_fract_z
N1 0.000 0.500 0.000
N2 0.500 0.000 0.000
Au1 0.500 0.500 0.500
Rb1 0.000 0.000 0.000
F1 0.000 0.000 0.500

(2)
# Rb2AuNF6, optimized geometry, DFT PBE-GGA
# V: 187 Å³/f.u.
# Formation energy from raw total energies: -1.27 eV per atom
# Crystal system: tetragonal
data_Rb2AuNF6
_chemical_formula_sum 'Rb2 Au1 N1 F6'
_cell_length_a 6.474
_cell_length_b 6.474
_cell_length_c 6.390
_cell_angle_alpha 59.56
_cell_angle_beta 59.56
_cell_angle_gamma 90.00
_space_group_name_H-M_alt 'P 1'
_space_group_IT_number 1
loop_
_space_group_symop_operation_xyz
'x,y,z'
loop_
_atom_site_label
_atom_site_fract_x
_atom_site_fract_y
_atom_site_fract_z
N1 0.500 0.500 0.000
Au1 0.000 0.000 0.000
Rb1 0.750 0.250 0.500
Rb2 0.250 0.750 0.500
F1 0.303 0.303 0.394
F2 0.697 0.697 0.606
F3 0.216 0.216 0.000
F4 0.784 0.784 0.000
F5 0.784 0.216 0.000
F6 0.216 0.784 0.000

(3)
# RbAuN2F, optimized geometry, DFT PBE-GGA
# V: 99 Å³/f.u.
# Formation energy from raw total energies: 0.47 eV per atom
# Crystal system: tetragonal
data_RbAuN2F
_chemical_formula_sum 'Rb1 Au1 N2 F1'
_cell_length_a 3.994
_cell_length_b 3.994
_cell_length_c 6.183
_cell_angle_alpha 90.00
_cell_angle_beta 90.00
_cell_angle_gamma 90.00
_space_group_name_H-M_alt 'P 1'
_space_group_IT_number 1
loop_
_space_group_symop_operation_xyz
'x,y,z'
loop_
_atom_site_label
_atom_site_fract_x
_atom_site_fract_y
_atom_site_fract_z
N1 0.000 0.500 0.000
N2 0.500 0.000 0.000
Au1 0.000 0.000 0.000
Rb1 0.500 0.500 0.500
F1 0.000 0.000 0.500

(4)
# RuAuNF, optimized geometry, DFT PBE-GGA
# V: 72 Å³/f.u.
# Formation energy from raw total energies: 0.00 eV per atom
# Crystal system: monoclinic
data_RuAuNF
_chemical_formula_sum 'Ru1 Au1 N1 F1'
_cell_length_a 4.846
_cell_length_b 3.084
_cell_length_c 4.966
_cell_angle_alpha 90.00
_cell_angle_beta 104.65
_cell_angle_gamma 90.00
_space_group_name_H-M_alt 'P 1'
_space_group_IT_number 1
loop_
_space_group_symop_operation_xyz
'x,y,z'
loop_
_atom_site_label
_atom_site_fract_x
_atom_site_fract_y
_atom_site_fract_z
Ru1 0.264 0.000 0.334
Au1 0.315 0.500 0.882
N1 0.430 0.500 0.494
F1 0.850 0.000 0.228

(5)
# RuAuNF, optimized geometry, DFT PBE-GGA
# V: 62 Å³/f.u.
# Formation energy from raw total energies: -0.09 eV per atom
# Crystal system: triclinic
data_RuAuNF
_chemical_formula_sum 'Ru1 Au1 N1 F1'
_cell_length_a 3.005
_cell_length_b 3.341
_cell_length_c 6.924
_cell_angle_alpha 87.68
_cell_angle_beta 89.17
_cell_angle_gamma 63.91
_space_group_name_H-M_alt 'P 1'
_space_group_IT_number 1
loop_
_space_group_symop_operation_xyz
'x,y,z'
loop_
_atom_site_label
_atom_site_fract_x
_atom_site_fract_y
_atom_site_fract_z
Ru1 0.489 0.698 0.538
Au1 0.493 0.693 0.155
N1 0.810 0.064 0.527
F1 0.503 0.623 0.842

(6)
# RuAuNF, optimized geometry, DFT PBE-GGA
# V: 71 Å³/f.u.
# Formation energy from raw total energies: -0.20 eV per atom
# Crystal system: triclinic
data_RuAuNF
_chemical_formula_sum 'Ru1 Au1 N1 F1'
_cell_length_a 3.022
_cell_length_b 3.044
_cell_length_c 9.065
_cell_angle_alpha 81.70
_cell_angle_beta 88.42
_cell_angle_gamma 59.84
_space_group_name_H-M_alt 'P 1'
_space_group_IT_number 1
loop_
_space_group_symop_operation_xyz
'x,y,z'
loop_
_atom_site_label
_atom_site_fract_x
_atom_site_fract_y
_atom_site_fract_z
Ru1 0.812 0.146 0.610
Au1 0.413 0.037 0.152
N1 0.466 0.851 0.534
F1 0.170 0.401 0.766

(7)
# RuAuNF, optimized geometry, DFT PBE-GGA
# V: 60 Å³/f.u.
# Formation energy from raw total energies: 0.01 eV per atom
# Crystal system: orthorhombic
data_RuAuNF
_chemical_formula_sum 'Ru2 Au2 N2 F2'
_cell_length_a 2.867
_cell_length_b 2.807
_cell_length_c 14.958
_cell_angle_alpha 90.00
_cell_angle_beta 90.00
_cell_angle_gamma 90.00
_space_group_name_H-M_alt 'P 1'
_space_group_IT_number 1
loop_
_space_group_symop_operation_xyz
'x,y,z'
loop_
_atom_site_label
_atom_site_fract_x
_atom_site_fract_y
_atom_site_fract_z
Ru1 0.000 0.000 0.931
Ru2 0.000 0.500 0.431
Au1 0.000 0.000 0.213
Au2 0.000 0.500 0.713
N1 0.000 0.000 0.348
N2 0.000 0.500 0.848
F1 0.000 0.000 0.068
F2 0.000 0.500 0.568

(8)
# RuAuNF, optimized geometry, DFT PBE-GGA
# V: 61 Å³/f.u.
# Formation energy from raw total energies: -0.12 eV per atom
# Crystal system: triclinic
data_RuAuNF
_chemical_formula_sum 'Ru1 Au1 N1 F1'
_cell_length_a 3.247
_cell_length_b 3.249
_cell_length_c 6.772
_cell_angle_alpha 78.88
_cell_angle_beta 78.72
_cell_angle_gamma 60.36
_space_group_name_H-M_alt 'P 1'
_space_group_IT_number 1
loop_
_space_group_symop_operation_xyz
'x,y,z'
loop_
_atom_site_label
_atom_site_fract_x
_atom_site_fract_y
_atom_site_fract_z
Ru1 0.929 0.956 0.452
Au1 0.095 0.119 0.826
N1 0.244 0.271 0.519
F1 0.935 0.949 0.140

Question: Among the records above, which one has the highest V?
Answer: Rb2AuNF6